First-principles (GGA-PBE) data for crystalline AcYAg4 at its relaxed geometry, as listed in Alexandria.

Cell and atoms, written as CIF:
```
data_AcYAg4
_chemical_formula_sum 'Ac4 Y4 Ag16'
_symmetry_space_group_name_H-M 'F -4 3 m'
_symmetry_Int_Tables_number 216
_symmetry_space_group_name_Hall 'F -4 2 3'
_cell_length_a 8.2882
_cell_length_b 8.2882
_cell_length_c 8.2882
_cell_angle_alpha 90.00
_cell_angle_beta 90.00
_cell_angle_gamma 90.00
loop_
_atom_site_label
_atom_site_fract_x
_atom_site_fract_y
_atom_site_fract_z
Ac1 0.0000 0.0000 0.0000
Y1 0.2500 0.2500 0.7500
Ag1 0.1240 0.1240 0.3760
```

Output
E above lowest polymorph: 0.140 eV/atom
calculated total energy: -22.86 eV/f.u.

***

First-principles (GGA-PBE) data for crystalline TlSi2Tc at its relaxed geometry, as listed in Alexandria.

Cell and atoms, written as CIF:
```
data_TlSi2Tc
_chemical_formula_sum 'Tl2 Si4 Tc2'
_symmetry_space_group_name_H-M 'C 1 2/m 1'
_symmetry_Int_Tables_number 12
_symmetry_space_group_name_Hall '-C 2y'
_cell_length_a 8.0674
_cell_length_b 3.1042
_cell_length_c 6.8034
_cell_angle_alpha 90.00
_cell_angle_beta 102.33
_cell_angle_gamma 90.00
loop_
_atom_site_label
_atom_site_fract_x
_atom_site_fract_y
_atom_site_fract_z
Tl1 0.0000 0.0000 0.0000
Si1 0.2323 0.0000 0.6367
Tc1 0.0000 0.5000 0.5000
```

Output
raw formation energy: 15.8 kJ/mol of atoms
E above lowest polymorph: 0.136 eV/atom
calculated total energy: -22.92 eV/f.u.

***

First-principles (GGA-PBE) data for crystalline BaSr2InFe at its relaxed geometry, as listed in Alexandria.

Cell and atoms, written as CIF:
```
data_BaSr2InFe
_chemical_formula_sum 'Ba1 Sr2 In1 Fe1'
_symmetry_space_group_name_H-M 'P 4/m m m'
_symmetry_Int_Tables_number 123
_symmetry_space_group_name_Hall '-P 4 2'
_cell_length_a 5.7214
_cell_length_b 5.7214
_cell_length_c 5.3122
_cell_angle_alpha 90.00
_cell_angle_beta 90.00
_cell_angle_gamma 90.00
loop_
_atom_site_label
_atom_site_fract_x
_atom_site_fract_y
_atom_site_fract_z
Ba1 0.0000 0.0000 0.0000
Sr1 0.0000 0.5000 0.5000
In1 0.5000 0.5000 0.0000
Fe1 0.5000 0.5000 0.5000
```

Output
calculated total energy: -15.22 eV/f.u.

***

First-principles (GGA-PBE) data for crystalline SbTe3P at its relaxed geometry, as listed in Alexandria.

Cell and atoms, written as CIF:
```
data_SbTe3P
_chemical_formula_sum 'Sb1 Te3 P1'
_symmetry_space_group_name_H-M 'P m -3 m'
_symmetry_Int_Tables_number 221
_symmetry_space_group_name_Hall '-P 4 2 3'
_cell_length_a 5.2482
_cell_length_b 5.2482
_cell_length_c 5.2482
_cell_angle_alpha 90.00
_cell_angle_beta 90.00
_cell_angle_gamma 90.00
loop_
_atom_site_label
_atom_site_fract_x
_atom_site_fract_y
_atom_site_fract_z
Sb1 0.0000 0.0000 0.0000
Te1 0.0000 0.5000 0.5000
P1 0.5000 0.5000 0.5000
```

Output
raw formation energy: 44.1 kJ/mol of atoms
E above lowest polymorph: 0.000 eV/atom
calculated total energy: -16.67 eV/f.u.

***

Which formula does entry 4 have?
SbTe3P

***

What is the calculated total energy in the first record?
-22.86 eV/f.u.

***

Which value of calculated total energy does entry 1 give?
-22.86 eV/f.u.

***

Which of these has the highest calculated total energy?
BaSr2InFe